# MgFe11O18

A geometry-optimized MgFe11O18 structure (GGA+U, Alexandria via LeMat-Bulk).

Unit cell a=5.505 b=7.529 c=8.890 alpha=113.21 beta=105.55 gamma=95.44
Space group P1 (No. 1)
Inequivalent atoms, fractional coordinates:
1 Mg 0.000 0.000 0.000 x1
2 Fe 0.244 0.875 0.331 x1
3 Fe 0.247 0.372 0.330 x1
4 Fe 0.324 0.835 0.667 x1
5 Fe 0.326 0.335 0.667 x1
6 Fe 0.584 0.712 0.000 x1
7 Fe 0.586 0.206 0.002 x1
8 Fe 0.660 0.669 0.333 x1
9 Fe 0.663 0.170 0.333 x1
10 Fe 0.912 0.042 0.669 x1
11 Fe 0.914 0.545 0.667 x1
12 Fe 0.993 0.503 0.000 x1
13 O 0.016 0.835 0.760 x1
14 O 0.017 0.840 0.463 x1
15 O 0.221 0.538 0.563 x1
16 O 0.222 0.542 0.869 x1
17 O 0.251 0.569 0.233 x1
18 O 0.321 0.143 0.770 x1
19 O 0.352 0.171 0.435 x1
20 O 0.364 0.177 0.136 x1
21 O 0.552 0.875 0.535 x1
22 O 0.553 0.873 0.232 x1
23 O 0.578 0.903 0.898 x1
24 O 0.656 0.478 0.437 x1
25 O 0.681 0.502 0.100 x1
26 O 0.684 0.507 0.797 x1
27 O 0.884 0.210 0.898 x1
28 O 0.890 0.209 0.205 x1
29 O 0.918 0.237 0.567 x1
30 O 0.987 0.802 0.103 x1

Computed properties:
Its density of states at the Fermi level is 15.83 states/eV/cell. As for the crystal system: triclinic. The total DFT energy (no corrections) is -197.21 eV per cell.